--- w ---
## Ag3Te (SCAN)

Data for Ag3Te at its PBEsol-relaxed geometry.

a b c (Å): 3.259 4.513 5.361
angles (deg): 90.00 90.00 90.00
Positions (direct):
Ag1 0.000 0.000 0.000
Ag2 0.000 0.500 0.316
Ag3 0.500 0.000 0.438
Te1 0.500 0.500 0.790

Properties
The space group is No. 25.

***

--- x ---
## Ag3Te (SCAN)

Data for Ag3Te at its PBEsol-relaxed geometry.

a b c (Å): 4.666 5.900 5.658
angles (deg): 90.00 90.00 90.00
Positions (direct):
Ag1 0.250 0.003 0.146
Ag2 0.250 0.497 0.146
Ag3 0.250 0.750 0.710
Ag4 0.750 0.250 0.290
Ag5 0.750 0.503 0.854
Ag6 0.750 0.997 0.854
Te1 0.250 0.250 0.647
Te2 0.750 0.750 0.353

Properties
The space group is No. 59.

***

So which one is most stable? That would be x, about 0.056 eV/atom below the next structure.

***

--- w ---
## CuRuRh2 (SCAN)

Data for CuRuRh2 at its PBEsol-relaxed geometry.

a b c (Å): 2.676 2.676 7.254
angles (deg): 90.00 90.00 90.00
Positions (direct):
Cu1 0.000 0.000 0.000
Ru1 0.000 0.000 0.500
Rh1 0.500 0.500 0.249
Rh2 0.500 0.500 0.751

Properties
The space group is No. 123.

***

--- x ---
## CuRuRh2 (SCAN)

Data for CuRuRh2 at its PBEsol-relaxed geometry.

a b c (Å): 2.678 3.683 5.265
angles (deg): 90.00 90.00 90.00
Positions (direct):
Cu1 0.000 0.000 0.000
Ru1 0.000 0.000 0.500
Rh1 0.500 0.500 0.249
Rh2 0.500 0.500 0.751

Properties
The space group is No. 47.

***

So which one is most stable? That would be w, about 0.029 eV/atom below the next structure.